[1]
Compound: LuBr
Source: Alexandria via LeMat-Bulk
Functional: GGA-PBE
Structure: optimized geometry

Lattice parameters (Å, degrees): 3.6042 3.6042 9.8701 90.00 90.00 120.00
Positions (direct):
Lu 0.6667 0.3333 0.8312
Lu 0.3333 0.6667 0.3312
Br 0.3333 0.6667 0.0438
Br 0.6667 0.3333 0.5438

Properties
As for the total energy: -16.0 eV for the cell shown. Its space-group type is P6_3mc, No. 186. The raw formation energy is -0.91 eV/atom.

[2]
Compound: PmDy8Th2
Source: Alexandria via LeMat-Bulk
Functional: GGA-PBE
Structure: optimized geometry

Lattice parameters (Å, degrees): 5.9556 7.5696 9.2252 111.60 105.61 97.52
Positions (direct):
Dy 0.7090 0.2090 0.4180
Dy 0.1582 0.3361 0.2357
Dy 0.2910 0.7910 0.5820
Dy 0.8418 0.6639 0.7643
Dy 0.2804 0.5738 0.0000
Dy 0.0774 0.8995 0.2357
Dy 0.9226 0.1005 0.7643
Dy 0.7196 0.4262 0.0000
Th 0.6934 0.6934 0.3869
Th 0.3066 0.3066 0.6131
Pm 0.5000 0.0000 0.0000

Properties
As for the total energy: -54.2 eV for the cell shown. Its space-group type is C2/m, No. 12. The formation energy from the elements is 0.20 eV per atom. For the energy above the lowest structure with this stoichiometry, the calculation gives 0.012 eV per atom.

[3]
Compound: ReGePb3
Source: Alexandria via LeMat-Bulk
Functional: GGA-PBE
Structure: optimized geometry

Lattice parameters (Å, degrees): 5.4397 5.4397 5.4397 90.00 90.00 90.00
Site moments in Bohr magnetons follow the coordinates.
Positions (direct):
Pb 0.5000 0.0000 0.0000  -0.06
Pb 0.0000 0.0000 0.5000  -0.02
Pb 0.0000 0.5000 0.0000  -0.06
Ge 0.0000 0.0000 0.0000  0.01
Re 0.5000 0.5000 0.5000  3.35

Properties
As for the total energy: -20.4 eV for the cell shown. Its space-group type is Pm-3m, No. 221. The formation energy from the elements is 1.56 eV per atom. For the energy above the lowest structure with this stoichiometry, the calculation gives 0.756 eV per atom.

[4]
Compound: LaHo2Si4
Source: Alexandria via LeMat-Bulk
Functional: GGA-PBE
Structure: optimized geometry

Lattice parameters (Å, degrees): 3.9026 4.3586 9.2497 103.63 102.18 90.00
Positions (direct):
Si 0.6511 0.6511 0.3021
Si 0.9319 0.4319 0.8639
Si 0.3489 0.3489 0.6979
Si 0.0681 0.5681 0.1361
La 0.5000 0.0000 0.0000
Ho 0.8169 0.8169 0.6337
Ho 0.1831 0.1831 0.3663

Properties
As for the total energy: -41.2 eV for the cell shown. Its space-group type is Immm, No. 71. The raw formation energy is -0.78 eV/atom.

[5]
Compound: Pm4Th3NpN8
Source: Alexandria via LeMat-Bulk
Functional: GGA-PBE
Structure: optimized geometry

Lattice parameters (Å, degrees): 7.2362 7.2224 7.2362 120.06 120.00 90.00
Site moments in Bohr magnetons follow the coordinates.
Positions (direct):
N 0.7558 0.7330 0.9944  -0.05
N 0.2536 0.2609 0.5073  0.01
N 0.7614 0.2670 0.0056  -0.05
N 0.2386 0.7331 0.4773  -0.05
N 0.7464 0.7391 0.4927  0.01
N 0.2442 0.2670 0.0056  -0.05
N 0.7614 0.2669 0.5227  -0.05
N 0.2386 0.7330 0.9944  -0.05
Pm 0.5000 0.0000 0.0000  0.09
Pm 0.0000 0.0000 0.0000  0.03
Pm 0.5000 0.0000 0.5000  0.03
Pm 0.0000 0.0000 0.5000  0.03
Th 0.5000 0.5000 0.5000  0.04
Th 0.0000 0.5000 0.5000  0.04
Th 0.5000 0.5000 0.0000  0.04
Np 0.0000 0.5000 0.0000  3.16

Properties
As for the total energy: -144.4 eV for the cell shown. Its space-group type is R-3m, No. 166. The raw formation energy is -1.47 eV/atom.

[6]
Compound: Pm2ThHg
Source: Alexandria via LeMat-Bulk
Functional: GGA-PBE
Structure: optimized geometry

Lattice parameters (Å, degrees): 3.6467 3.6467 11.0788 80.53 80.53 60.00
Positions (direct):
Pm 0.2564 0.2564 0.2307
Pm 0.0769 0.0769 0.7694
Th 0.5001 0.5001 0.4996
Hg 0.6666 0.6666 0.0003

Properties
As for the total energy: -17.7 eV for the cell shown. Its space-group type is R3m, No. 160. The formation energy from the elements is -0.11 eV per atom. For the energy above the lowest structure with this stoichiometry, the calculation gives 0.136 eV per atom.

[7]
Compound: BPd
Source: Alexandria via LeMat-Bulk
Functional: GGA-PBE
Structure: optimized geometry

Lattice parameters (Å, degrees): 4.3323 3.0333 7.7080 90.00 103.62 90.00
Positions (direct):
B 0.3827 0.5000 0.8527
B 0.5321 0.0000 0.8050
B 0.3827 0.0000 0.3527
B 0.5321 0.5000 0.3050
Pd 0.9885 0.0000 0.7353
Pd 0.4584 0.0000 0.0751
Pd 0.9885 0.5000 0.2353
Pd 0.4584 0.5000 0.5751

Properties
As for the total energy: -46.9 eV for the cell shown. Its space-group type is Cm, No. 8. The formation energy from the elements is 0.07 eV per atom.

[8]
Compound: Tb6SmMg
Source: Alexandria via LeMat-Bulk
Functional: GGA-PBE
Structure: optimized geometry

Lattice parameters (Å, degrees): 5.0172 6.1156 9.3167 77.11 74.38 65.78
Positions (direct):
Mg 0.0000 0.0000 0.0000
Tb 0.7506 0.1274 0.3714
Tb 0.7551 0.6128 0.8770
Tb 0.2449 0.3872 0.1230
Tb 0.5023 0.2444 0.7511
Tb 0.4977 0.7556 0.2489
Tb 0.2494 0.8726 0.6286
Sm 0.0000 0.5000 0.5000

Properties
As for the total energy: -33.9 eV for the cell shown. Its space-group type is C2/m, No. 12. The formation energy from the elements is 0.02 eV per atom. For the energy above the lowest structure with this stoichiometry, the calculation gives 0.000 eV per atom.

[9]
Compound: Ir2WSe
Source: Alexandria via LeMat-Bulk
Functional: GGA-PBE
Structure: optimized geometry

Lattice parameters (Å, degrees): 4.7757 4.7757 2.8024 90.00 90.00 90.00
Positions (direct):
W 0.0000 0.5000 0.5000
Ir 0.5000 0.5000 0.0000
Ir 0.0000 0.0000 0.0000
Se 0.5000 0.0000 0.5000

Properties
As for the total energy: -32.2 eV for the cell shown. Its space-group type is P4/mmm, No. 123. The raw formation energy is 0.49 eV/atom. For the energy above the lowest structure with this stoichiometry, the calculation gives 0.405 eV per atom.

[10]
Compound: LiCo2BAs
Source: Alexandria via LeMat-Bulk
Functional: GGA-PBE
Structure: optimized geometry

Lattice parameters (Å, degrees): 5.0128 2.8992 8.1062 90.00 96.06 90.00
Positions (direct):
B 0.8315 0.0000 0.5278
B 0.8315 0.5000 0.0278
Li 0.8068 0.0000 0.7875
Li 0.8068 0.5000 0.2875
Co 0.5710 0.5000 0.5310
Co 0.0826 0.0000 0.0752
Co 0.0826 0.5000 0.5752
Co 0.5710 0.0000 0.0310
As 0.2749 0.0000 0.3626
As 0.2749 0.5000 0.8626

Properties
As for the total energy: -56.3 eV for the cell shown. Its space-group type is Cm, No. 8. The formation energy from the elements is -0.14 eV per atom. For the energy above the lowest structure with this stoichiometry, the calculation gives 0.146 eV per atom.

[11]
Compound: La2Zr2Ta
Source: Alexandria via LeMat-Bulk
Functional: GGA-PBE
Structure: optimized geometry

Lattice parameters (Å, degrees): 5.7857 5.7857 5.7857 121.15 121.15 88.02
Positions (direct):
La 0.3308 0.3308 0.0000
La 0.6692 0.6692 0.0000
Zr 0.2500 0.7500 0.5000
Zr 0.7500 0.2500 0.5000
Ta 0.0000 0.0000 0.0000

Properties
As for the total energy: -33.2 eV for the cell shown. Its space-group type is I4/mmm, No. 139. The formation energy from the elements is 1.12 eV per atom.

[12]
Compound: SrDyTl6
Source: Alexandria via LeMat-Bulk
Functional: GGA-PBE
Structure: optimized geometry

Lattice parameters (Å, degrees): 4.8657 4.8657 9.7765 90.00 90.00 90.00
Positions (direct):
Tl 0.5000 0.5000 0.0000
Tl 0.0000 0.5000 0.2598
Tl 0.5000 0.5000 0.5000
Tl 0.5000 0.0000 0.7402
Tl 0.5000 0.0000 0.2598
Tl 0.0000 0.5000 0.7402
Sr 0.0000 0.0000 0.0000
Dy 0.0000 0.0000 0.5000

Properties
As for the total energy: -22.4 eV for the cell shown. Its space-group type is P4/mmm, No. 123. The formation energy from the elements is -0.24 eV per atom.